# 1
# BaSr2PN | Alexandria | PBE | optimized geometry
data_BaSr2PN
_symmetry_space_group_name_H-M 'P 1'
_symmetry_Int_Tables_number 1
_cell_length_a 4.508
_cell_length_b 8.236
_cell_length_c 8.388
_cell_angle_alpha 90.00
_cell_angle_beta 90.00
_cell_angle_gamma 105.88
loop_
_symmetry_equiv_pos_as_xyz
'x,y,z'
loop_
_atom_site_label
_atom_site_fract_x
_atom_site_fract_y
_atom_site_fract_z
_atom_site_occupancy
Ba1 0.497 0.993 0.750 1
Ba2 0.503 0.007 0.250 1
Sr1 0.155 0.310 0.978 1
Sr2 0.845 0.690 0.022 1
Sr3 0.155 0.310 0.522 1
Sr4 0.845 0.690 0.478 1
P1 0.709 0.418 0.750 1
P2 0.291 0.582 0.250 1
N1 0.000 0.000 0.000 1
N2 0.000 0.000 0.500 1
# - E_form (uncorrected) (eV/atom) = -0.69
# - space-group type = Cmcm, No. 63
# - D(E_F) (states/eV/f.u.) = 0.1
# - crystal system = orthorhombic
# - DFT total energy (eV/atom) = -4.50
# - ρ (g/cm³) = 4.0

---

# 2
# Ba2TbPN4 | Alexandria | PBE | optimized geometry
data_Ba2TbPN4
_symmetry_space_group_name_H-M 'P 1'
_symmetry_Int_Tables_number 1
_cell_length_a 5.315
_cell_length_b 6.313
_cell_length_c 11.566
_cell_angle_alpha 84.45
_cell_angle_beta 76.72
_cell_angle_gamma 65.11
loop_
_symmetry_equiv_pos_as_xyz
'x,y,z'
loop_
_atom_site_label
_atom_site_fract_x
_atom_site_fract_y
_atom_site_fract_z
_atom_site_occupancy
Ba1 0.184 0.000 0.632 1
Ba2 0.816 0.000 0.368 1
Ba3 0.566 0.500 0.868 1
Ba4 0.934 0.500 0.132 1
Tb1 0.750 0.500 0.500 1
Tb2 0.000 0.000 0.000 1
P1 0.250 0.500 0.500 1
P2 0.500 0.000 0.000 1
N1 0.373 0.813 0.082 1
N2 0.267 0.187 0.918 1
N3 0.814 0.813 0.918 1
N4 0.545 0.187 0.082 1
N5 0.377 0.687 0.418 1
N6 0.483 0.313 0.582 1
N7 0.936 0.687 0.582 1
N8 0.205 0.313 0.418 1
# - E_form (uncorrected) (eV/atom) = -0.53
# - space-group type = Fddd, No. 70
# - crystal system = orthorhombic
# - DFT total energy (eV/atom) = -6.43
# - ρ (g/cm³) = 5.0

---

# 3
# Ba2TbP2N6 | Alexandria | PBE | optimized geometry
data_Ba2TbP2N6
_symmetry_space_group_name_H-M 'P 1'
_symmetry_Int_Tables_number 1
_cell_length_a 5.890
_cell_length_b 5.890
_cell_length_c 7.040
_cell_angle_alpha 65.27
_cell_angle_beta 65.27
_cell_angle_gamma 60.00
loop_
_symmetry_equiv_pos_as_xyz
'x,y,z'
loop_
_atom_site_label
_atom_site_fract_x
_atom_site_fract_y
_atom_site_fract_z
_atom_site_occupancy
Ba1 0.787 0.787 0.638 1
Ba2 0.213 0.213 0.362 1
Tb1 0.000 0.000 0.000 1
P1 0.415 0.415 0.756 1
P2 0.585 0.585 0.244 1
N1 0.739 0.739 0.246 1
N2 0.275 0.739 0.246 1
N3 0.739 0.275 0.246 1
N4 0.261 0.725 0.754 1
N5 0.725 0.261 0.754 1
N6 0.261 0.261 0.754 1
# - E_form (uncorrected) (eV/atom) = -0.86
# - space-group type = R-3m, No. 166
# - D(E_F) (states/eV/f.u.) = 4.7
# - crystal system = trigonal
# - DFT total energy (eV/atom) = -7.15
# - ρ (g/cm³) = 5.2

---

# 4
# BaTc2PN | Alexandria | PBE | optimized geometry
data_BaTc2PN
_symmetry_space_group_name_H-M 'P 1'
_symmetry_Int_Tables_number 1
_cell_length_a 4.164
_cell_length_b 5.909
_cell_length_c 7.306
_cell_angle_alpha 90.00
_cell_angle_beta 90.00
_cell_angle_gamma 110.63
loop_
_symmetry_equiv_pos_as_xyz
'x,y,z'
loop_
_atom_site_label
_atom_site_fract_x
_atom_site_fract_y
_atom_site_fract_z
_atom_site_occupancy
Ba1 0.457 0.914 0.750 1
Ba2 0.543 0.086 0.250 1
Tc1 0.172 0.344 0.943 1
Tc2 0.828 0.656 0.057 1
Tc3 0.172 0.344 0.557 1
Tc4 0.828 0.656 0.443 1
P1 0.734 0.468 0.750 1
P2 0.266 0.532 0.250 1
N1 0.000 0.000 0.000 1
N2 0.000 0.000 0.500 1
# - E_form (uncorrected) (eV/atom) = -0.43
# - space-group type = Cmcm, No. 63
# - D(E_F) (states/eV/f.u.) = 3.7
# - crystal system = orthorhombic
# - DFT total energy (eV/atom) = -7.71
# - ρ (g/cm³) = 7.5

---

# 5
# Ba2TcP2N6 | Alexandria | PBE | optimized geometry
data_Ba2TcP2N6
_symmetry_space_group_name_H-M 'P 1'
_symmetry_Int_Tables_number 1
_cell_length_a 5.679
_cell_length_b 5.679
_cell_length_c 6.580
_cell_angle_alpha 64.44
_cell_angle_beta 64.44
_cell_angle_gamma 60.00
loop_
_symmetry_equiv_pos_as_xyz
'x,y,z'
loop_
_atom_site_label
_atom_site_fract_x
_atom_site_fract_y
_atom_site_fract_z
_atom_site_occupancy
Ba1 0.784 0.784 0.648 1
Ba2 0.216 0.216 0.352 1
Tc1 0.000 0.000 0.000 1
P1 0.403 0.403 0.792 1
P2 0.597 0.597 0.208 1
N1 0.755 0.755 0.218 1
N2 0.271 0.755 0.218 1
N3 0.755 0.271 0.218 1
N4 0.245 0.729 0.782 1
N5 0.729 0.245 0.782 1
N6 0.245 0.245 0.782 1
# - E_form (uncorrected) (eV/atom) = -0.42
# - space-group type = R-3m, No. 166
# - D(E_F) (states/eV/f.u.) = 3.1
# - crystal system = trigonal
# - DFT total energy (eV/atom) = -7.24
# - ρ (g/cm³) = 5.4

---

# 6
# Ba2ThP2N6 | Alexandria | PBE | optimized geometry
data_Ba2ThP2N6
_symmetry_space_group_name_H-M 'P 1'
_symmetry_Int_Tables_number 1
_cell_length_a 5.924
_cell_length_b 5.924
_cell_length_c 7.144
_cell_angle_alpha 65.51
_cell_angle_beta 65.51
_cell_angle_gamma 60.00
loop_
_symmetry_equiv_pos_as_xyz
'x,y,z'
loop_
_atom_site_label
_atom_site_fract_x
_atom_site_fract_y
_atom_site_fract_z
_atom_site_occupancy
Ba1 0.787 0.787 0.638 1
Ba2 0.213 0.213 0.362 1
Th1 0.000 0.000 0.000 1
P1 0.416 0.416 0.753 1
P2 0.584 0.584 0.247 1
N1 0.739 0.739 0.248 1
N2 0.275 0.739 0.248 1
N3 0.739 0.275 0.248 1
N4 0.261 0.725 0.752 1
N5 0.725 0.261 0.752 1
N6 0.261 0.261 0.752 1
# - E_form (uncorrected) (eV/atom) = -1.01
# - space-group type = R-3m, No. 166
# - D(E_F) (states/eV/f.u.) = 0.0
# - crystal system = trigonal
# - DFT total energy (eV/atom) = -7.56
# - ρ (g/cm³) = 5.7

---

# 7
# BaTh2P2N6 | Alexandria | PBE | optimized geometry
data_BaTh2P2N6
_symmetry_space_group_name_H-M 'P 1'
_symmetry_Int_Tables_number 1
_cell_length_a 6.517
_cell_length_b 6.177
_cell_length_c 5.916
_cell_angle_alpha 106.13
_cell_angle_beta 77.27
_cell_angle_gamma 65.79
loop_
_symmetry_equiv_pos_as_xyz
'x,y,z'
loop_
_atom_site_label
_atom_site_fract_x
_atom_site_fract_y
_atom_site_fract_z
_atom_site_occupancy
Ba1 0.500 0.000 0.500 1
Th1 0.841 0.354 0.799 1
Th2 0.159 0.646 0.201 1
P1 0.312 0.645 0.687 1
P2 0.688 0.355 0.313 1
N1 0.429 0.702 0.904 1
N2 0.849 0.494 0.235 1
N3 0.152 0.880 0.614 1
N4 0.151 0.506 0.765 1
N5 0.848 0.120 0.386 1
N6 0.571 0.298 0.096 1
# - E_form (uncorrected) (eV/atom) = -1.00
# - space-group type = P-1, No. 2
# - D(E_F) (states/eV/f.u.) = 0.0
# - crystal system = triclinic
# - DFT total energy (eV/atom) = -8.05
# - ρ (g/cm³) = 6.4

---

# 8
# BaThPN4 | Alexandria | PBE | optimized geometry
data_BaThPN4
_symmetry_space_group_name_H-M 'P 1'
_symmetry_Int_Tables_number 1
_cell_length_a 5.720
_cell_length_b 5.655
_cell_length_c 7.542
_cell_angle_alpha 90.00
_cell_angle_beta 107.22
_cell_angle_gamma 90.00
loop_
_symmetry_equiv_pos_as_xyz
'x,y,z'
loop_
_atom_site_label
_atom_site_fract_x
_atom_site_fract_y
_atom_site_fract_z
_atom_site_occupancy
Ba1 0.706 0.750 0.926 1
Ba2 0.294 0.250 0.074 1
Th1 0.773 0.750 0.455 1
Th2 0.227 0.250 0.545 1
P1 0.229 0.750 0.321 1
P2 0.771 0.250 0.679 1
N1 0.956 0.481 0.707 1
N2 0.044 0.981 0.293 1
N3 0.044 0.519 0.293 1
N4 0.956 0.019 0.707 1
N5 0.411 0.750 0.187 1
N6 0.589 0.250 0.813 1
N7 0.398 0.750 0.542 1
N8 0.602 0.250 0.458 1
# - E_form (uncorrected) (eV/atom) = -0.95
# - space-group type = P2_1/m, No. 11
# - D(E_F) (states/eV/f.u.) = 5.3
# - crystal system = monoclinic
# - DFT total energy (eV/atom) = -7.82
# - ρ (g/cm³) = 6.5

---

# 9
# BaTiP2N6 | Alexandria | PBE | optimized geometry
data_BaTiP2N6
_symmetry_space_group_name_H-M 'P 1'
_symmetry_Int_Tables_number 1
_cell_length_a 5.177
_cell_length_b 6.988
_cell_length_c 6.988
_cell_angle_alpha 99.83
_cell_angle_beta 85.14
_cell_angle_gamma 85.14
loop_
_symmetry_equiv_pos_as_xyz
'x,y,z'
loop_
_atom_site_label
_atom_site_fract_x
_atom_site_fract_y
_atom_site_fract_z
_atom_site_occupancy
Ba1 0.250 0.900 0.100 1
Ba2 0.750 0.100 0.900 1
Ti1 0.250 0.283 0.717 1
Ti2 0.750 0.717 0.283 1
P1 0.348 0.773 0.620 1
P2 0.152 0.380 0.227 1
P3 0.652 0.227 0.380 1
P4 0.848 0.620 0.773 1
N1 0.254 0.004 0.690 1
N2 0.246 0.310 0.996 1
N3 0.746 0.996 0.310 1
N4 0.754 0.690 0.004 1
N5 0.363 0.695 0.377 1
N6 0.137 0.623 0.305 1
N7 0.637 0.305 0.623 1
N8 0.863 0.377 0.695 1
N9 0.166 0.639 0.737 1
N10 0.334 0.263 0.361 1
N11 0.834 0.361 0.263 1
N12 0.666 0.737 0.639 1
# - E_form (uncorrected) (eV/atom) = -0.64
# - space-group type = C2/c, No. 15
# - crystal system = monoclinic
# - DFT total energy (eV/atom) = -7.70
# - ρ (g/cm³) = 4.5

---

# 10
# BaTm2P2N6 | Alexandria | PBE | optimized geometry
data_BaTm2P2N6
_symmetry_space_group_name_H-M 'P 1'
_symmetry_Int_Tables_number 1
_cell_length_a 6.310
_cell_length_b 6.020
_cell_length_c 5.980
_cell_angle_alpha 114.14
_cell_angle_beta 83.28
_cell_angle_gamma 67.22
loop_
_symmetry_equiv_pos_as_xyz
'x,y,z'
loop_
_atom_site_label
_atom_site_fract_x
_atom_site_fract_y
_atom_site_fract_z
_atom_site_occupancy
Ba1 0.500 0.000 0.500 1
Tm1 0.831 0.366 0.798 1
Tm2 0.169 0.634 0.202 1
P1 0.217 0.702 0.757 1
P2 0.783 0.298 0.243 1
N1 0.445 0.663 0.856 1
N2 0.905 0.474 0.211 1
N3 0.114 0.901 0.643 1
N4 0.095 0.526 0.789 1
N5 0.886 0.099 0.357 1
N6 0.555 0.337 0.144 1
# - E_form (uncorrected) (eV/atom) = -0.97
# - space-group type = P-1, No. 2
# - D(E_F) (states/eV/f.u.) = 0.0
# - crystal system = triclinic
# - DFT total energy (eV/atom) = -7.49
# - ρ (g/cm³) = 5.7

---

# 11
# Ba2TmP2N6 | Alexandria | PBE | optimized geometry
data_Ba2TmP2N6
_symmetry_space_group_name_H-M 'P 1'
_symmetry_Int_Tables_number 1
_cell_length_a 5.858
_cell_length_b 5.858
_cell_length_c 6.947
_cell_angle_alpha 65.06
_cell_angle_beta 65.06
_cell_angle_gamma 60.00
loop_
_symmetry_equiv_pos_as_xyz
'x,y,z'
loop_
_atom_site_label
_atom_site_fract_x
_atom_site_fract_y
_atom_site_fract_z
_atom_site_occupancy
Ba1 0.786 0.786 0.642 1
Ba2 0.214 0.214 0.358 1
Tm1 0.000 0.000 0.000 1
P1 0.413 0.413 0.761 1
P2 0.587 0.587 0.239 1
N1 0.742 0.742 0.241 1
N2 0.275 0.742 0.241 1
N3 0.742 0.275 0.241 1
N4 0.258 0.725 0.759 1
N5 0.725 0.258 0.759 1
N6 0.258 0.258 0.759 1
# - E_form (uncorrected) (eV/atom) = -0.88
# - space-group type = R-3m, No. 166
# - D(E_F) (states/eV/f.u.) = 4.8
# - crystal system = trigonal
# - DFT total energy (eV/atom) = -7.16
# - ρ (g/cm³) = 5.4

---

# 12
# Ba3TmP2N6 | Alexandria | PBE | optimized geometry
data_Ba3TmP2N6
_symmetry_space_group_name_H-M 'P 1'
_symmetry_Int_Tables_number 1
_cell_length_a 5.954
_cell_length_b 5.954
_cell_length_c 7.270
_cell_angle_alpha 90.00
_cell_angle_beta 90.00
_cell_angle_gamma 120.00
loop_
_symmetry_equiv_pos_as_xyz
'x,y,z'
loop_
_atom_site_label
_atom_site_fract_x
_atom_site_fract_y
_atom_site_fract_z
_atom_site_occupancy
Ba1 0.333 0.667 0.695 1
Ba2 0.667 0.333 0.305 1
Ba3 0.000 0.000 0.000 1
Tm1 0.000 0.000 0.500 1
P1 0.667 0.333 0.731 1
P2 0.333 0.667 0.269 1
N1 0.641 0.820 0.302 1
N2 0.180 0.359 0.302 1
N3 0.180 0.820 0.302 1
N4 0.820 0.641 0.698 1
N5 0.359 0.180 0.698 1
N6 0.820 0.180 0.698 1
# - E_form (uncorrected) (eV/atom) = -0.96
# - space-group type = P-3m1, No. 164
# - D(E_F) (states/eV/f.u.) = 2.7
# - crystal system = trigonal
# - DFT total energy (eV/atom) = -6.87
# - ρ (g/cm³) = 5.4

---

Q: Number 10 is which compound?
A: BaTm2P2N6

---

Q: Among the records above, which one has the highest E_form (uncorrected)?
A: Ba2TcP2N6

---

What did the seventh record say?
# BaTh2P2N6 | Alexandria | PBE | optimized geometry
data_BaTh2P2N6
_symmetry_space_group_name_H-M 'P 1'
_symmetry_Int_Tables_number 1
_cell_length_a 6.517
_cell_length_b 6.177
_cell_length_c 5.916
_cell_angle_alpha 106.13
_cell_angle_beta 77.27
_cell_angle_gamma 65.79
loop_
_symmetry_equiv_pos_as_xyz
'x,y,z'
loop_
_atom_site_label
_atom_site_fract_x
_atom_site_fract_y
_atom_site_fract_z
_atom_site_occupancy
Ba1 0.500 0.000 0.500 1
Th1 0.841 0.354 0.799 1
Th2 0.159 0.646 0.201 1
P1 0.312 0.645 0.687 1
P2 0.688 0.355 0.313 1
N1 0.429 0.702 0.904 1
N2 0.849 0.494 0.235 1
N3 0.152 0.880 0.614 1
N4 0.151 0.506 0.765 1
N5 0.848 0.120 0.386 1
N6 0.571 0.298 0.096 1
# - E_form (uncorrected) (eV/atom) = -1.00
# - space-group type = P-1, No. 2
# - D(E_F) (states/eV/f.u.) = 0.0
# - crystal system = triclinic
# - DFT total energy (eV/atom) = -8.05
# - ρ (g/cm³) = 6.4